--- w ---
! Ba2TlZn meta-GGA SCAN PBEsol geometry; values from VASP
! Magnetic moment   0.0 μB/f.u.
&SYSTEM
  ibrav = 0, nat = 4, ntyp = 3
/
ATOMIC_SPECIES
Zn 65.41 Zn.upf
Tl 204.38 Tl.upf
Ba 137.33 Ba.upf
CELL_PARAMETERS angstrom
-0.9740 -3.3806 -2.0347
0.2471 -3.0644 4.9732
-5.6708 1.0682 0.9399
ATOMIC_POSITIONS angstrom
Zn -1.0828 -3.0871 1.5885
Tl -4.0220 -1.0245 -0.4314
Ba -0.7035 0.1325 0.1166
Ba -3.4250 -0.8638 3.0748


--- x ---
! Ba2TlZn meta-GGA SCAN PBEsol geometry; values from VASP
! Magnetic moment   0.0 μB/f.u.
&SYSTEM
  ibrav = 0, nat = 4, ntyp = 3
/
ATOMIC_SPECIES
Ba 137.33 Ba.upf
Tl 204.38 Tl.upf
Zn 65.41 Zn.upf
CELL_PARAMETERS angstrom
-1.8123 -3.4299 1.1125
4.4886 -2.9709 -1.8476
1.0763 3.6124 5.5710
ATOMIC_POSITIONS angstrom
Ba 3.3379 -1.2989 1.4330
Ba 0.1832 0.0313 0.3949
Tl 2.1837 0.3726 4.7062
Zn 0.4622 -1.4815 3.5052


Name the least stable of them. x.


--- w ---
! Ba2TlZn2 meta-GGA SCAN PBEsol geometry; values from VASP
! Magnetic moment   0.0 μB/f.u.
&SYSTEM
  ibrav = 0, nat = 5, ntyp = 3
/
ATOMIC_SPECIES
Ba 137.33 Ba.upf
Tl 204.38 Tl.upf
Zn 65.41 Zn.upf
CELL_PARAMETERS angstrom
3.8252 0.0000 0.0000
0.0000 3.8252 0.0000
-1.9126 -1.9126 10.5165
ATOMIC_POSITIONS angstrom
Ba 0.0000 0.0000 8.1772
Ba 1.9126 1.9126 2.3392
Tl 0.0000 0.0000 0.0000
Zn 0.0000 1.9126 5.2582
Zn 1.9126 0.0000 5.2582


--- x ---
! Ba2TlZn2 meta-GGA SCAN PBEsol geometry; values from VASP
! Magnetic moment   0.0 μB/f.u.
&SYSTEM
  ibrav = 0, nat = 10, ntyp = 3
/
ATOMIC_SPECIES
Ba 137.33 Ba.upf
Zn 65.41 Zn.upf
Tl 204.38 Tl.upf
CELL_PARAMETERS angstrom
-1.8314 -2.0539 -3.4882
0.4081 -7.3073 4.0883
-7.6269 1.3648 3.2008
ATOMIC_POSITIONS angstrom
Ba -6.8056 -4.9702 3.6702
Ba -6.1064 -1.4782 1.2470
Ba -2.9438 -6.5181 2.5540
Ba -2.2446 -3.0261 0.1307
Zn -4.2591 -5.7034 5.5944
Zn -2.9597 -0.2390 1.6947
Zn -6.6558 -1.6574 4.4705
Zn -0.5630 -4.2850 2.8186
Tl 0.0000 0.0000 0.0000
Tl -3.6094 -2.9712 3.6446


Name the least stable of them. w.


--- w ---
! BaZn2W meta-GGA SCAN PBEsol geometry; values from VASP
! Magnetic moment   3.0 μB/f.u.
&SYSTEM
  ibrav = 0, nat = 4, ntyp = 3
/
ATOMIC_SPECIES
Zn 65.41 Zn.upf
W 183.84 W.upf
Ba 137.33 Ba.upf
CELL_PARAMETERS angstrom
4.9117 0.0000 0.0000
2.4558 4.2536 0.0000
2.4558 1.4179 4.0104
ATOMIC_POSITIONS angstrom
Zn 7.3675 4.2536 3.0078
Zn 0.0000 0.0000 0.0000
W 2.4558 1.4179 1.0026
Ba 4.9117 2.8358 2.0052


--- x ---
! BaZn2W meta-GGA SCAN PBEsol geometry; values from VASP
! Magnetic moment   0.0 μB/f.u.
&SYSTEM
  ibrav = 0, nat = 4, ntyp = 3
/
ATOMIC_SPECIES
Zn 65.41 Zn.upf
W 183.84 W.upf
Ba 137.33 Ba.upf
CELL_PARAMETERS angstrom
4.1830 0.0000 0.0000
0.0000 4.1830 0.0000
-2.0915 -2.0915 4.7159
ATOMIC_POSITIONS angstrom
Zn 0.0000 0.0000 0.0000
Zn 2.0915 0.0000 2.3579
W 0.0000 2.0915 2.3579
Ba 2.0915 2.0915 0.0000


Name the least stable of them. w.


--- w ---
! BaZrW2 meta-GGA SCAN PBEsol geometry; values from VASP
! Magnetic moment   0.0 μB/f.u.
&SYSTEM
  ibrav = 0, nat = 4, ntyp = 3
/
ATOMIC_SPECIES
Zr 91.22 Zr.upf
W 183.84 W.upf
Ba 137.33 Ba.upf
CELL_PARAMETERS angstrom
-0.6291 -1.7621 2.2434
2.8449 -0.1751 -0.6399
1.9736 7.7613 6.6498
ATOMIC_POSITIONS angstrom
Zr 2.0947 2.9120 4.1266
W 0.5572 2.1910 1.8772
W 1.4165 5.5703 4.7725
Ba 1.1079 -0.9686 0.8017


--- x ---
! BaZrW2 meta-GGA SCAN PBEsol geometry; values from VASP
! Magnetic moment   0.0 μB/f.u.
&SYSTEM
  ibrav = 0, nat = 4, ntyp = 3
/
ATOMIC_SPECIES
Ba 137.33 Ba.upf
Zr 91.22 Zr.upf
W 183.84 W.upf
CELL_PARAMETERS angstrom
-2.7776 -1.1264 -1.3385
0.3604 -1.8251 4.8132
-3.1168 5.5295 1.8148
ATOMIC_POSITIONS angstrom
Ba -1.3888 -0.5632 -0.6693
Zr -1.5584 2.7647 0.9074
W -3.8659 1.8103 2.4738
W -1.6681 0.7677 2.8156


--- y ---
! BaZrW2 meta-GGA SCAN PBEsol geometry; values from VASP
! Magnetic moment   0.0 μB/f.u.
&SYSTEM
  ibrav = 0, nat = 4, ntyp = 3
/
ATOMIC_SPECIES
W 183.84 W.upf
Zr 91.22 Zr.upf
Ba 137.33 Ba.upf
CELL_PARAMETERS angstrom
2.9058 0.0192 0.0000
-0.8648 5.4516 0.0000
-1.0205 -2.7354 5.0725
ATOMIC_POSITIONS angstrom
W -0.5102 -1.3677 2.5363
W 0.5102 1.3677 2.5363
Zr 1.4529 0.0096 0.0000
Ba -0.4324 2.7258 0.0000


Name the least stable of them. y.